No. 1
A geometry-optimized InSeBr2F structure, computed with PBE.

Values from the calculation:
As for the distance to the lowest polymorph of the same formula: 0.120 eV per atom. The calculation puts the uncorrected formation energy at -0.0842 eV per atom. The space group is P4/mmm, No. 123. For the total energy, the calculation gives -0.174 Ry/atom.

abc: 5.334 5.334 5.612
angles: 90.00 90.00 90.00
Atoms (fractional coordinates):
In 0.000 0.000 0.000
Se 0.000 0.000 0.500
Br 0.000 0.500 0.000
Br 0.500 0.000 0.000
F 0.500 0.500 0.500

No. 2
A geometry-optimized Pr4Se5Cl2 structure, computed with PBE.

Values from the calculation:
The calculation puts the uncorrected formation energy at -1.7760 eV per atom. The space group is C2/m, No. 12. For the total energy, the calculation gives -0.399 Ry/atom.

abc: 9.425 9.425 8.587
angles: 105.88 105.88 27.44
Atoms (fractional coordinates):
Pr 0.001 0.001 0.272
Pr 0.279 0.279 0.767
Pr 0.721 0.721 0.233
Pr 0.999 0.999 0.728
Se 0.158 0.158 0.949
Se 0.172 0.172 0.421
Se 0.500 0.500 0.500
Se 0.828 0.828 0.579
Se 0.842 0.842 0.051
Cl 0.440 0.440 0.847
Cl 0.560 0.560 0.153

No. 3
A geometry-optimized YNi2TeAu structure, computed with PBE.

Values from the calculation:
The calculation puts the uncorrected formation energy at 0.9661 eV per atom. The space group is P4/mmm, No. 123. For the total energy, the calculation gives -0.288 Ry/atom.

abc: 4.771 4.771 5.387
angles: 90.00 90.00 90.00
Atoms (fractional coordinates):
Y 0.000 0.000 0.000
Ni 0.000 0.500 0.000
Ni 0.500 0.000 0.000
Te 0.500 0.500 0.500
Au 0.000 0.000 0.500

No. 4
A geometry-optimized In3Pb structure, computed with PBE.

Values from the calculation:
The space group is P2/m, No. 10. For the total energy, the calculation gives -0.217 Ry/atom.

abc: 3.414 5.281 6.472
angles: 90.00 102.04 90.00
Atoms (fractional coordinates):
In 0.000 0.000 0.000
In 0.221 0.500 0.757
In 0.779 0.500 0.243
Pb 0.500 0.000 0.500